Record 1
Here is a relaxed structure of Hf2Zn2As from Alexandria. Energies are from PBE.

Output
The value obtained for the energy of formation is -16.13 kJ/mol of atoms. The space-group type is P4/mbm, No. 127. The volume is 89.9 Å³/f.u. The excess energy over the best structure of this formula in the dataset is 102 meV per atom.

Cell: 6.7066 6.7066 3.9975 Å, 90.00 90.00 90.00°
Sites, in units of the cell vectors:
Hf: 0.3286 0.1714 0.5000
Hf: 0.1714 0.6714 0.5000
Hf: 0.6714 0.8286 0.5000
Hf: 0.8286 0.3286 0.5000
As: 0.5000 0.5000 0.0000
As: 0.0000 0.0000 0.0000
Zn: 0.1274 0.3726 0.0000
Zn: 0.3726 0.8726 0.0000
Zn: 0.8726 0.6274 0.0000
Zn: 0.6274 0.1274 0.0000

Record 2
Here is a relaxed structure of Ac2TbSm from Alexandria. Energies are from PBE.

Output
The value obtained for the energy of formation is 3.64 kJ/mol of atoms. The space-group type is Pm, No. 6. The volume is 152.9 Å³/f.u. The excess energy over the best structure of this formula in the dataset is 1 meV per atom.

Cell: 3.8280 6.4141 7.4650 Å, 123.47 90.00 90.00°
Sites, in units of the cell vectors:
Ac: 0.2526 0.7529 0.4982
Ac: 0.7523 0.2520 0.9982
Tb: 0.7525 0.2530 0.4984
Sm: 0.2523 0.7519 0.9980

Record 3
Here is a relaxed structure of YZrAu2 from Alexandria. Energies are from PBE.

Output
The value obtained for the energy of formation is -45.80 kJ/mol of atoms. The space-group type is C2/m, No. 12. The volume is 96.5 Å³/f.u. The excess energy over the best structure of this formula in the dataset is 172 meV per atom.

Cell: 4.5118 4.5118 6.4942 Å, 74.96 74.96 49.63°
Sites, in units of the cell vectors:
Zr: 0.7500 0.7500 0.7500
Au: 0.4961 0.4961 0.5334
Au: 0.0039 0.0039 0.9666
Y: 0.2500 0.2500 0.2500

Record 4
Here is a relaxed structure of LiMnAl2 from Alexandria. Energies are from PBE.

Output
The value obtained for the energy of formation is -18.66 kJ/mol of atoms. The space-group type is P4/mmm, No. 123. The volume is 55.0 Å³/f.u.

Cell: 2.9036 2.9021 7.1419 Å, 66.01 90.00 90.00°
Last column: magnetic moment on the atom in μB.
Sites, in units of the cell vectors:
Mn: 0.5000 0.7500 0.7500  1.65
Al: 0.0000 0.0196 0.9804  -0.03
Al: 0.0000 0.4804 0.5196  -0.03
Li: 0.5000 0.2500 0.2500  0.00

Respective calculated density values: 10394 8290 9877 3498 kg/m3.